Entry 1:
## Cr2CuSe (PBE)

Data for an optimized crystal structure of Cr2CuSe. Values from VASP.

Theoretical density: 6.54 g/cm3
Energy relative to the elements, uncorrected: 0.3523 eV per atom

```
&SYSTEM
  ibrav = 0, nat = 4, ntyp = 3
/
ATOMIC_SPECIES
Cr 52.00 Cr.upf
Se 78.96 Se.upf
Cu 63.55 Cu.upf
CELL_PARAMETERS angstrom
-4.066 -1.518 0.514
0.113 -1.674 -4.053
1.194 -2.795 1.187
ATOMIC_POSITIONS angstrom
Cr -1.977 -1.596 -1.770
Cr 0.000 0.000 0.000
Se 0.653 -2.234 -1.433
Cu -1.436 -2.156 0.851
```

=====

Entry 2:
## Cr2CuSe (PBE)

Data for an optimized crystal structure of Cr2CuSe. Values from VASP.

Theoretical density: 6.58 g/cm3
Energy relative to the elements, uncorrected: 0.2943 eV per atom

```
&SYSTEM
  ibrav = 0, nat = 4, ntyp = 3
/
ATOMIC_SPECIES
Cr 52.00 Cr.upf
Se 78.96 Se.upf
Cu 63.55 Cu.upf
CELL_PARAMETERS angstrom
-0.895 -1.786 2.517
-1.332 -2.146 -1.996
3.880 -5.131 -2.261
ATOMIC_POSITIONS angstrom
Cr -1.295 -2.167 -1.997
Cr 1.236 -3.618 -2.128
Se 1.463 -6.351 -1.934
Cu 0.189 -2.712 0.194
```

=====

Entry 3:
## Cr2CuSe2 (PBE)

Data for an optimized crystal structure of Cr2CuSe2. Values from VASP.

Theoretical density: 6.35 g/cm3
ΔE to the lowest computed polymorph: 0 kJ/mol of formula units
Energy relative to the elements, uncorrected: 0.1046 eV per atom

```
&SYSTEM
  ibrav = 0, nat = 10, ntyp = 3
/
ATOMIC_SPECIES
Cr 52.00 Cr.upf
Se 78.96 Se.upf
Cu 63.55 Cu.upf
CELL_PARAMETERS angstrom
-6.689 0.505 2.117
-1.147 -6.633 -2.039
0.905 -1.118 3.126
ATOMIC_POSITIONS angstrom
Cr -5.614 -2.435 2.649
Cr -2.046 -1.396 1.987
Cr -1.317 -4.811 0.555
Cr -4.884 -5.850 1.217
Se -1.453 -2.184 -0.360
Se -6.383 -3.944 0.438
Se -4.588 -0.720 1.071
Se -3.248 -5.408 -0.993
Cu -3.918 -3.064 0.039
Cu 0.000 0.000 0.000
```

=====

Entry 4:
## CrCu2Se (PBE)

Data for an optimized crystal structure of CrCu2Se. Values from VASP.

Theoretical density: 6.89 g/cm3
Energy relative to the elements, uncorrected: 0.2007 eV per atom

```
&SYSTEM
  ibrav = 0, nat = 4, ntyp = 3
/
ATOMIC_SPECIES
Cu 63.55 Cu.upf
Se 78.96 Se.upf
Cr 52.00 Cr.upf
CELL_PARAMETERS angstrom
-3.704 -3.204 -1.343
-1.410 -4.827 0.706
-2.050 0.899 3.008
ATOMIC_POSITIONS angstrom
Cu -5.060 -7.889 -0.585
Cu -3.636 -3.708 1.132
Se -5.373 -5.349 1.778
Cr -1.791 -1.783 0.593
```

=====

Entry 5:
## SrCrCuSe3 (PBE)

Data for an optimized crystal structure of SrCrCuSe3. Values from VASP.

Theoretical density: 5.53 g/cm3
Energy relative to the elements, uncorrected: -0.9183 eV per atom

```
&SYSTEM
  ibrav = 0, nat = 12, ntyp = 4
/
ATOMIC_SPECIES
Se 78.96 Se.upf
Sr 87.62 Sr.upf
Cu 63.55 Cu.upf
Cr 52.00 Cr.upf
CELL_PARAMETERS angstrom
-3.314 1.562 1.441
0.843 -4.245 6.540
4.268 7.665 1.508
ATOMIC_POSITIONS angstrom
Se 1.746 0.718 5.926
Se -1.497 0.336 4.258
Se 2.991 6.566 2.450
Se 3.295 4.645 5.230
Se -1.193 -1.585 7.039
Se 0.052 4.264 3.563
Sr 0.451 1.511 2.087
Sr 1.347 3.471 7.402
Cu 0.052 0.417 7.733
Cu 1.745 4.564 1.755
Cr 0.392 -1.282 4.980
Cr 1.405 6.264 4.509
```

=====

Entry 6:
## TiCrCuSe4 (PBE)

Data for an optimized crystal structure of TiCrCuSe4. Values from VASP.

Theoretical density: 5.49 g/cm3
Energy relative to the elements, uncorrected: -0.7139 eV per atom

```
&SYSTEM
  ibrav = 0, nat = 14, ntyp = 4
/
ATOMIC_SPECIES
Se 78.96 Se.upf
Ti 47.87 Ti.upf
Cu 63.55 Cu.upf
Cr 52.00 Cr.upf
CELL_PARAMETERS angstrom
7.429 0.002 0.018
-0.014 7.429 -0.018
-3.596 -3.827 5.255
ATOMIC_POSITIONS angstrom
Se 5.549 5.488 0.050
Se -1.732 1.649 5.164
Se 5.551 1.955 0.092
Se 3.856 -0.042 2.687
Se -0.037 3.646 2.569
Se 3.860 3.642 2.545
Se -0.041 -0.038 2.710
Se -1.730 -1.883 5.205
Ti -0.007 3.715 -0.009
Ti -1.798 -1.913 2.628
Cu 1.897 -0.015 1.318
Cu 1.922 3.620 3.937
Cr 3.708 3.715 0.000
Cr -1.805 1.801 2.619
```

=====

Entry 7:
## Tl2Cr2CuSe6 (PBE)

Data for an optimized crystal structure of Tl2Cr2CuSe6. Values from VASP.

Theoretical density: 6.50 g/cm3
Energy relative to the elements, uncorrected: -0.3464 eV per atom

```
&SYSTEM
  ibrav = 0, nat = 11, ntyp = 4
/
ATOMIC_SPECIES
Se 78.96 Se.upf
Cu 63.55 Cu.upf
Cr 52.00 Cr.upf
Tl 204.38 Tl.upf
CELL_PARAMETERS angstrom
6.505 -0.036 0.051
-3.247 5.637 0.051
-1.194 -2.053 7.302
ATOMIC_POSITIONS angstrom
Se 0.432 4.589 2.351
Se -1.712 0.905 5.052
Se 0.484 0.832 2.445
Se 3.776 2.643 2.351
Se 1.580 2.716 4.959
Se 1.633 -1.041 5.052
Cu -0.597 -1.026 3.651
Cr 2.729 0.787 3.702
Cr -0.665 2.761 3.702
Tl -1.646 4.706 0.051
Tl 4.904 0.895 0.051
```

=====

Entry 8:
## Tl3Cr3CuSe8 (PBE)

Data for an optimized crystal structure of Tl3Cr3CuSe8. Values from VASP.

Theoretical density: 6.61 g/cm3
Energy relative to the elements, uncorrected: -0.3735 eV per atom

```
&SYSTEM
  ibrav = 0, nat = 15, ntyp = 4
/
ATOMIC_SPECIES
Cr 52.00 Cr.upf
Tl 204.38 Tl.upf
Se 78.96 Se.upf
Cu 63.55 Cu.upf
CELL_PARAMETERS angstrom
7.520 0.000 0.000
-3.760 6.509 -0.022
0.000 -4.307 7.527
ATOMIC_POSITIONS angstrom
Cr 1.880 1.101 3.752
Cr 3.760 -2.154 3.763
Cr -1.880 1.101 3.752
Tl 1.880 3.255 -0.011
Tl -1.880 3.255 -0.011
Tl 0.000 0.000 0.000
Se 1.906 -1.058 2.434
Se 0.000 2.181 2.405
Se 0.000 0.048 5.079
Se 3.760 0.021 5.100
Se 3.760 2.154 2.425
Se 1.854 3.260 5.070
Se -1.854 3.260 5.070
Se 5.613 -1.058 2.434
Cu 0.000 -2.154 3.763
```

=====

Entry 9:
## Tl2CrCuSe4 (PBE)

Data for an optimized crystal structure of Tl2CrCuSe4. Values from VASP.

Theoretical density: 6.36 g/cm3
Energy relative to the elements, uncorrected: -0.3744 eV per atom

```
&SYSTEM
  ibrav = 0, nat = 16, ntyp = 4
/
ATOMIC_SPECIES
Se 78.96 Se.upf
Tl 204.38 Tl.upf
Cr 52.00 Cr.upf
Cu 63.55 Cu.upf
CELL_PARAMETERS angstrom
-4.163 2.964 2.378
-0.496 -1.226 7.340
5.068 9.995 3.094
ATOMIC_POSITIONS angstrom
Se 3.590 9.139 4.609
Se -0.632 7.755 8.964
Se 1.231 3.843 3.740
Se 0.641 7.464 5.486
Se -0.423 4.405 7.435
Se -2.067 2.765 3.261
Se 0.204 10.586 10.850
Se -0.910 0.977 6.906
Tl 1.760 9.699 7.693
Tl -1.567 6.056 3.070
Tl -3.433 3.516 6.309
Tl 2.472 6.903 2.402
Cr 0.000 0.000 0.000
Cr -0.837 6.608 7.001
Cu -2.082 1.482 1.189
Cu 1.245 5.125 5.812
```

=====

Entry 10:
## CrCuWSe2 (PBE)

Data for an optimized crystal structure of CrCuWSe2. Values from VASP.

Theoretical density: 8.09 g/cm3
Energy relative to the elements, uncorrected: 1.3274 eV per atom

```
&SYSTEM
  ibrav = 0, nat = 5, ntyp = 4
/
ATOMIC_SPECIES
Cu 63.55 Cu.upf
Se 78.96 Se.upf
Cr 52.00 Cr.upf
W 183.84 W.upf
CELL_PARAMETERS angstrom
-4.126 -1.077 1.689
0.178 -3.944 -2.080
1.995 -1.856 3.689
ATOMIC_POSITIONS angstrom
Cu 0.089 -1.972 -1.040
Se -2.063 -0.538 0.845
Se 0.997 -0.928 1.845
Cr 0.000 0.000 0.000
W -0.977 -3.438 1.649
```

=====

Entry 11:
## ZnCr4CuSe8 (PBE)

Data for an optimized crystal structure of ZnCr4CuSe8. Values from VASP.

Theoretical density: 5.55 g/cm3
Energy relative to the elements, uncorrected: -0.5347 eV per atom

```
&SYSTEM
  ibrav = 0, nat = 14, ntyp = 4
/
ATOMIC_SPECIES
Se 78.96 Se.upf
Cr 52.00 Cr.upf
Cu 63.55 Cu.upf
Zn 65.41 Zn.upf
CELL_PARAMETERS angstrom
7.426 0.000 0.000
3.713 6.431 0.000
3.713 2.144 6.063
ATOMIC_POSITIONS angstrom
Se 7.426 4.287 5.493
Se 7.426 6.608 2.211
Se 13.112 7.571 5.353
Se 11.139 6.431 2.131
Se 11.139 4.153 5.353
Se 5.416 3.127 2.211
Se 9.166 7.571 5.353
Se 9.436 3.127 2.211
Cr 3.713 2.144 3.826
Cr 5.599 1.055 0.746
Cr 1.827 1.055 0.746
Cr 3.713 4.322 0.746
Cu 11.139 6.431 4.548
Zn 7.426 4.287 3.032
```

=====

Entry 12:
## ZnCr8Cu3Se16 (PBE)

Data for an optimized crystal structure of ZnCr8Cu3Se16. Values from VASP.

Theoretical density: 5.62 g/cm3
Energy relative to the elements, uncorrected: -0.5109 eV per atom

```
&SYSTEM
  ibrav = 0, nat = 28, ntyp = 4
/
ATOMIC_SPECIES
Cu 63.55 Cu.upf
Se 78.96 Se.upf
Cr 52.00 Cr.upf
Zn 65.41 Zn.upf
CELL_PARAMETERS angstrom
-2.733 12.293 -2.262
-3.941 11.125 4.941
2.948 12.202 2.474
ATOMIC_POSITIONS angstrom
Cu -1.631 15.591 2.256
Cu -3.493 33.394 4.831
Cu -0.233 2.226 0.322
Se -3.244 31.017 4.488
Se -1.793 10.649 -0.355
Se -3.474 18.823 4.529
Se -0.275 16.752 0.652
Se -1.384 13.233 1.915
Se -4.604 25.031 3.288
Se 0.873 10.606 1.867
Se -2.360 10.101 3.025
Se -1.933 24.988 5.515
Se -2.819 19.456 0.626
Se 0.259 19.406 3.192
Se -2.349 22.459 3.249
Se -1.365 25.537 2.129
Se -3.938 16.179 1.964
Se -0.918 16.130 4.482
Se -0.480 4.585 0.663
Cr -5.174 29.484 3.915
Cr -0.937 8.955 1.296
Cr -3.324 11.736 1.346
Cr -0.505 11.691 3.696
Cr 0.095 12.271 0.122
Cr -2.363 29.439 6.258
Cr -2.792 26.693 3.862
Cr -1.765 30.017 2.695
Zn -2.095 20.035 2.899
```

=====

Entry 13:
## ZnCrCu3Se4 (PBE)

Data for an optimized crystal structure of ZnCrCu3Se4. Values from VASP.

Theoretical density: 5.58 g/cm3
Energy relative to the elements, uncorrected: -0.2465 eV per atom

```
&SYSTEM
  ibrav = 0, nat = 9, ntyp = 4
/
ATOMIC_SPECIES
Se 78.96 Se.upf
Cu 63.55 Cu.upf
Cr 52.00 Cr.upf
Zn 65.41 Zn.upf
CELL_PARAMETERS angstrom
5.705 0.000 0.000
0.000 5.705 0.000
0.000 0.000 5.705
ATOMIC_POSITIONS angstrom
Se 1.412 1.412 1.412
Se 1.412 4.293 4.293
Se 4.293 4.293 1.412
Se 4.293 1.412 4.293
Cu 0.000 0.000 2.853
Cu 0.000 2.853 0.000
Cu 2.853 0.000 0.000
Cr 0.000 0.000 0.000
Zn 2.853 2.853 2.853
```

=====

Entry 14:
## Cr2CuSi2 (PBE)

Data for an optimized crystal structure of Cr2CuSi2. Values from VASP.

Theoretical density: 6.07 g/cm3
ΔE to the lowest computed polymorph: 0 kJ/mol of formula units
Energy relative to the elements, uncorrected: -0.0922 eV per atom

```
&SYSTEM
  ibrav = 0, nat = 10, ntyp = 3
/
ATOMIC_SPECIES
Cu 63.55 Cu.upf
Si 28.09 Si.upf
Cr 52.00 Cr.upf
CELL_PARAMETERS angstrom
-4.664 2.570 -3.197
-3.435 0.199 5.171
1.146 2.889 0.651
ATOMIC_POSITIONS angstrom
Cu -4.049 1.384 0.987
Cu 0.000 0.000 0.000
Si -3.428 1.660 -1.331
Si -4.671 1.109 3.305
Si -1.884 0.420 1.452
Si -6.215 2.348 0.521
Cr -2.468 1.996 3.233
Cr -4.485 3.662 -0.609
Cr -1.558 2.342 0.094
Cr -5.395 3.316 2.530
```

=====

Entry 15:
## Cr2CuSi2 (PBE)

Data for an optimized crystal structure of Cr2CuSi2. Values from VASP.

Theoretical density: 5.83 g/cm3
ΔE to the lowest computed polymorph: 85 kJ/mol of formula units
Energy relative to the elements, uncorrected: 0.0847 eV per atom

```
&SYSTEM
  ibrav = 0, nat = 10, ntyp = 3
/
ATOMIC_SPECIES
Cu 63.55 Cu.upf
Cr 52.00 Cr.upf
Si 28.09 Si.upf
CELL_PARAMETERS angstrom
6.400 0.000 0.000
0.000 6.400 0.000
0.000 0.000 3.110
ATOMIC_POSITIONS angstrom
Cu 3.200 3.200 0.000
Cu 0.000 0.000 0.000
Cr 2.249 5.449 0.000
Cr 0.951 2.249 0.000
Cr 5.449 4.151 0.000
Cr 4.151 0.951 0.000
Si 2.260 0.940 1.555
Si 5.460 2.260 1.555
Si 4.140 5.460 1.555
Si 0.940 4.140 1.555
```

=====

Entry 16:
## CrCu2Si (PBE)

Data for an optimized crystal structure of CrCu2Si. Values from VASP.

Theoretical density: 6.83 g/cm3
Energy relative to the elements, uncorrected: 0.1980 eV per atom

```
&SYSTEM
  ibrav = 0, nat = 4, ntyp = 3
/
ATOMIC_SPECIES
Cu 63.55 Cu.upf
Si 28.09 Si.upf
Cr 52.00 Cr.upf
CELL_PARAMETERS angstrom
-0.115 -2.505 -0.867
3.711 -0.374 0.586
-0.901 -1.581 4.690
ATOMIC_POSITIONS angstrom
Cu -0.900 -1.580 4.686
Cu -0.451 -0.792 2.349
Si 1.573 -1.835 1.032
Cr 1.122 -2.626 3.377
```

=====

Entry 17:
## CrCuSi3 (PBE)

Data for an optimized crystal structure of CrCuSi3. Values from VASP.

Theoretical density: 3.82 g/cm3
ΔE to the lowest computed polymorph: 0 kJ/mol of formula units
Energy relative to the elements, uncorrected: 0.5425 eV per atom

```
&SYSTEM
  ibrav = 0, nat = 5, ntyp = 3
/
ATOMIC_SPECIES
Si 28.09 Si.upf
Cu 63.55 Cu.upf
Cr 52.00 Cr.upf
CELL_PARAMETERS angstrom
4.429 0.000 0.000
0.000 4.429 0.000
0.000 0.000 4.429
ATOMIC_POSITIONS angstrom
Si 2.215 0.000 0.000
Si 0.000 0.000 2.215
Si 0.000 2.215 0.000
Cu 2.215 2.215 2.215
Cr 0.000 0.000 0.000
```

=====

Entry 18:
## CrCu2Si (PBE)

Data for an optimized crystal structure of CrCu2Si. Values from VASP.

Theoretical density: 7.04 g/cm3
Energy relative to the elements, uncorrected: 0.0967 eV per atom

```
&SYSTEM
  ibrav = 0, nat = 4, ntyp = 3
/
ATOMIC_SPECIES
Cu 63.55 Cu.upf
Si 28.09 Si.upf
Cr 52.00 Cr.upf
CELL_PARAMETERS angstrom
-0.232 2.345 3.691
1.497 -1.697 1.172
3.695 2.092 -1.096
ATOMIC_POSITIONS angstrom
Cu 2.523 0.283 -0.021
Cu 3.768 2.006 -1.037
Si 1.182 1.271 1.865
Cr 3.778 1.468 1.903
```

=====

Entry 19:
## CrCu2Si (PBE)

Data for an optimized crystal structure of CrCu2Si. Values from VASP.

Theoretical density: 6.91 g/cm3
Energy relative to the elements, uncorrected: 0.0498 eV per atom

```
&SYSTEM
  ibrav = 0, nat = 4, ntyp = 3
/
ATOMIC_SPECIES
Cu 63.55 Cu.upf
Si 28.09 Si.upf
Cr 52.00 Cr.upf
CELL_PARAMETERS angstrom
4.164 -0.038 0.000
0.235 4.158 0.000
-2.199 -2.060 2.874
ATOMIC_POSITIONS angstrom
Cu 0.000 0.000 0.000
Cu 0.117 2.079 1.437
Si 2.199 2.060 0.000
Cr 2.082 -0.019 1.437
```

=====

Entry 20:
## CrCu2Si (PBE)

Data for an optimized crystal structure of CrCu2Si. Values from VASP.

Theoretical density: 6.29 g/cm3
Energy relative to the elements, uncorrected: 0.2963 eV per atom

```
&SYSTEM
  ibrav = 0, nat = 8, ntyp = 3
/
ATOMIC_SPECIES
Si 28.09 Si.upf
Cu 63.55 Cu.upf
Cr 52.00 Cr.upf
CELL_PARAMETERS angstrom
-0.270 2.981 1.799
-1.152 -1.780 2.776
7.724 -0.371 5.163
ATOMIC_POSITIONS angstrom
Si -0.711 0.601 2.288
Si 2.931 -0.775 5.113
Cu 1.176 -0.812 3.263
Cu 4.557 0.785 7.857
Cu 5.252 0.160 5.607
Cu 1.620 1.528 2.750
Cr 0.000 0.000 0.000
Cr 3.371 1.606 4.625
```

=====

Entry 21:
## CrCu2Si (PBE)

Data for an optimized crystal structure of CrCu2Si. Values from VASP.

Theoretical density: 7.03 g/cm3
Energy relative to the elements, uncorrected: -0.0120 eV per atom

```
&SYSTEM
  ibrav = 0, nat = 4, ntyp = 3
/
ATOMIC_SPECIES
Si 28.09 Si.upf
Cu 63.55 Cu.upf
Cr 52.00 Cr.upf
CELL_PARAMETERS angstrom
3.870 0.000 0.000
0.000 3.556 0.000
0.000 0.000 3.556
ATOMIC_POSITIONS angstrom
Si 1.935 1.778 0.000
Cu 0.000 0.000 0.000
Cu 0.000 1.778 1.778
Cr 1.935 0.000 1.778
```

=====

Entry 22:
## CrCu3Si (PBE)

Data for an optimized crystal structure of CrCu3Si. Values from VASP.

Theoretical density: 5.72 g/cm3
ΔE to the lowest computed polymorph: 0 kJ/mol of formula units
Energy relative to the elements, uncorrected: 0.9904 eV per atom

```
&SYSTEM
  ibrav = 0, nat = 5, ntyp = 3
/
ATOMIC_SPECIES
Cr 52.00 Cr.upf
Cu 63.55 Cu.upf
Si 28.09 Si.upf
CELL_PARAMETERS angstrom
4.284 0.000 0.000
0.000 4.284 0.000
0.000 0.000 4.284
ATOMIC_POSITIONS angstrom
Cr 2.142 2.142 2.142
Cu 2.142 0.000 0.000
Cu 0.000 2.142 0.000
Cu 0.000 0.000 2.142
Si 0.000 0.000 0.000
```

=====

Entry 23:
## CrCu4Si (PBE)

Data for an optimized crystal structure of CrCu4Si. Values from VASP.

Theoretical density: 7.09 g/cm3
Energy relative to the elements, uncorrected: 0.1889 eV per atom

```
&SYSTEM
  ibrav = 0, nat = 6, ntyp = 3
/
ATOMIC_SPECIES
Cu 63.55 Cu.upf
Si 28.09 Si.upf
Cr 52.00 Cr.upf
CELL_PARAMETERS angstrom
0.000 3.395 3.395
3.395 0.000 3.395
3.395 3.395 0.000
ATOMIC_POSITIONS angstrom
Cu 4.245 4.245 4.245
Cu 2.546 2.546 4.245
Cu 2.546 4.245 2.546
Cu 4.245 2.546 2.546
Si 1.698 1.698 1.698
Cr 0.000 0.000 0.000
```

=====

Entry 24:
## CrCu2Si (PBE)

Data for an optimized crystal structure of CrCu2Si. Values from VASP.

Theoretical density: 6.96 g/cm3
Energy relative to the elements, uncorrected: 0.0032 eV per atom

```
&SYSTEM
  ibrav = 0, nat = 4, ntyp = 3
/
ATOMIC_SPECIES
Si 28.09 Si.upf
Cr 52.00 Cr.upf
Cu 63.55 Cu.upf
CELL_PARAMETERS angstrom
-1.043 3.198 -1.701
-2.203 -1.179 -0.865
-3.482 0.824 3.685
ATOMIC_POSITIONS angstrom
Si -2.488 0.079 1.674
Cr -4.567 1.361 1.184
Cu -0.195 -0.041 0.042
Cu -2.320 1.268 -0.370
```